# 1
Here is a relaxed structure of Ta2AgW from Alexandria via LeMat-Bulk. Energies are from GGA-PBE.

Lattice parameters (Å, degrees): 5.1260 5.1260 5.1260 137.98 127.75 69.20
Fractional positions:
Ta 0.2403 0.2403 0.0000
Ta 0.7597 0.7597 0.0000
Ag 0.5000 0.0000 0.5000
W 0.0000 0.5000 0.5000

Properties
Formation energy from the elements = 341 meV/atom
Crystal system = orthorhombic
Space group = Immm, No. 71
ρ = 15.5 g/cm³

***

# 2
Here is a relaxed structure of Ca2MnCo from Alexandria via LeMat-Bulk. Energies are from GGA-PBE.

Lattice parameters (Å, degrees): 5.0107 5.0107 5.0107 60.00 60.00 60.00
Fractional positions:
Ca 0.2500 0.2500 0.2500
Ca 0.7500 0.7500 0.7500
Mn 0.0000 0.0000 0.0000
Co 0.5000 0.5000 0.5000

Properties
Formation energy from the elements = 515 meV/atom
Crystal system = cubic
Space group = Fm-3m, No. 225
ρ = 3.6 g/cm³

***

# 3
Here is a relaxed structure of ScCuSO from Alexandria via LeMat-Bulk. Energies are from GGA-PBE.

Lattice parameters (Å, degrees): 9.8277 9.8277 9.8277 21.40 21.40 21.40
Fractional positions:
Sc 0.1213 0.1213 0.1213
Sc 0.8787 0.8787 0.8787
Cu 0.3076 0.3076 0.3076
Cu 0.6924 0.6924 0.6924
S 0.3927 0.3927 0.3927
S 0.6073 0.6073 0.6073
O 0.1946 0.1946 0.1946
O 0.8054 0.8054 0.8054

Properties
Uncorrected formation energy = -1.896 eV/atom
Crystal system = trigonal
Space group = R-3m, No. 166
ρ = 4.7 g/cm³

***

# 4
Here is a relaxed structure of YPaPb from Alexandria via LeMat-Bulk. Energies are from GGA-PBE.

Lattice parameters (Å, degrees): 5.4533 5.4533 3.2009 90.00 90.00 120.00
Fractional positions:
Y 0.0000 0.0000 0.0000
Pa 0.3333 0.6667 0.9992
Pb 0.6667 0.3333 0.4982

Properties
Formation energy from the elements = 336 meV/atom
Crystal system = trigonal
Space group = P3m1, No. 156
ρ = 10.6 g/cm³

***

# 5
Here is a relaxed structure of CuSiTe2 from Alexandria via LeMat-Bulk. Energies are from GGA-PBE.

Lattice parameters (Å, degrees): 3.0864 3.9101 7.7655 90.00 95.02 90.00
Fractional positions:
Cu 0.0000 0.0000 0.0000
Si 0.0000 0.0000 0.5000
Te 0.0554 0.5000 0.7638
Te 0.9446 0.5000 0.2362

Properties
Uncorrected formation energy = 0.258 eV/atom
Crystal system = monoclinic
Space group = P2/m, No. 10
ρ = 6.2 g/cm³

***

# 6
Here is a relaxed structure of BaSrMn2 from Alexandria via LeMat-Bulk. Energies are from GGA-PBE.

Lattice parameters (Å, degrees): 5.6576 5.6576 5.6576 60.00 60.00 60.00
Fractional positions:
Ba 0.0000 0.0000 0.0000
Sr 0.5000 0.5000 0.5000
Mn 0.2500 0.2500 0.2500
Mn 0.7500 0.7500 0.7500

Properties
Formation energy from the elements = 665 meV/atom
Crystal system = cubic
Space group = Fm-3m, No. 225
ρ = 4.3 g/cm³

***

# 7
Here is a relaxed structure of SiTeP from Alexandria via LeMat-Bulk. Energies are from GGA-PBE.

Lattice parameters (Å, degrees): 9.0410 6.0820 7.2656 90.00 108.04 90.00
Fractional positions:
Si 0.1334 0.2175 0.2842
Si 0.1334 0.2825 0.7842
Si 0.8666 0.7175 0.2158
Si 0.8666 0.7825 0.7158
Te 0.3152 0.1162 0.0927
Te 0.3152 0.3838 0.5927
Te 0.6848 0.6162 0.4073
Te 0.6848 0.8838 0.9073
P 0.0709 0.5914 0.9235
P 0.0709 0.9086 0.4235
P 0.9291 0.0914 0.5765
P 0.9291 0.4086 0.0765

Properties
Uncorrected formation energy = -0.051 eV/atom
Crystal system = monoclinic
Space group = P2_1/c, No. 14
ρ = 3.3 g/cm³

***

# 8
Here is a relaxed structure of Zr2BeIr from Alexandria via LeMat-Bulk. Energies are from GGA-PBE.

Lattice parameters (Å, degrees): 3.1328 3.1328 6.9456 90.00 90.00 90.00
Fractional positions:
Zr 0.0000 0.0000 0.0000
Zr 0.5000 0.5000 0.3189
Be 0.0000 0.0000 0.5899
Ir 0.5000 0.5000 0.7337

Properties
Formation energy from the elements = -378 meV/atom
Crystal system = tetragonal
Space group = P4mm, No. 99
ρ = 9.3 g/cm³